Compound: Ca5Ag2Sb
Source: Alexandria via LeMat-Bulk
Functional: GGA-PBE
Structure: relaxed

```
data_Ca5Ag2Sb
_symmetry_space_group_name_H-M 'I 4/m c m'
_symmetry_Int_Tables_number 140
_symmetry_space_group_name_Hall '-I 4 2c'
_cell_length_a 8.046
_cell_length_b 8.046
_cell_length_c 14.875
_cell_angle_alpha 90.00
_cell_angle_beta 90.00
_cell_angle_gamma 90.00
loop_
_atom_site_label
_atom_site_fract_x
_atom_site_fract_y
_atom_site_fract_z
_atom_site_occupancy
Ca1 0.000 0.000 0.000 1
Ca2 0.169 0.331 0.144 1
Ag1 0.126 0.374 0.500 1
Sb1 0.000 0.000 0.250 1
```

***

Compound: CaAgSb2
Source: Alexandria via LeMat-Bulk
Functional: GGA-PBE
Structure: relaxed

```
data_CaAgSb2
_symmetry_space_group_name_H-M 'F m -3 m'
_symmetry_Int_Tables_number 225
_symmetry_space_group_name_Hall '-F 4 2 3'
_cell_length_a 7.457
_cell_length_b 7.457
_cell_length_c 7.457
_cell_angle_alpha 90.00
_cell_angle_beta 90.00
_cell_angle_gamma 90.00
loop_
_atom_site_label
_atom_site_fract_x
_atom_site_fract_y
_atom_site_fract_z
_atom_site_occupancy
Ca1 0.000 0.000 0.000 1
Ag1 0.000 0.000 0.500 1
Sb1 0.250 0.250 0.250 1
```

***

Compound: CaAgSb2
Source: Alexandria via LeMat-Bulk
Functional: GGA-PBE
Structure: relaxed

```
data_CaAgSb2
_symmetry_space_group_name_H-M 'C m m m'
_symmetry_Int_Tables_number 65
_symmetry_space_group_name_Hall '-C 2 2'
_cell_length_a 7.266
_cell_length_b 8.142
_cell_length_c 3.443
_cell_angle_alpha 90.00
_cell_angle_beta 90.00
_cell_angle_gamma 90.00
loop_
_atom_site_label
_atom_site_fract_x
_atom_site_fract_y
_atom_site_fract_z
_atom_site_occupancy
Ca1 0.000 0.000 0.000 1
Ag1 0.000 0.500 0.000 1
Sb1 0.250 0.250 0.500 1
```

***

Compound: CaAgSb2
Source: Alexandria via LeMat-Bulk
Functional: GGA-PBE
Structure: relaxed

```
data_CaAgSb2
_symmetry_space_group_name_H-M 'C m m m'
_symmetry_Int_Tables_number 65
_symmetry_space_group_name_Hall '-C 2 2'
_cell_length_a 4.628
_cell_length_b 5.244
_cell_length_c 8.608
_cell_angle_alpha 90.00
_cell_angle_beta 90.00
_cell_angle_gamma 90.00
loop_
_atom_site_label
_atom_site_fract_x
_atom_site_fract_y
_atom_site_fract_z
_atom_site_occupancy
Ca1 0.000 0.000 0.000 1
Ag1 0.000 0.000 0.500 1
Sb1 0.000 0.500 0.268 1
```

***

Compound: CaAgSb
Source: Alexandria via LeMat-Bulk
Functional: GGA-PBE
Structure: relaxed

```
data_CaAgSb
_symmetry_space_group_name_H-M 'R -3 m'
_symmetry_Int_Tables_number 166
_symmetry_space_group_name_Hall '-R 3 2"'
_cell_length_a 4.8116
_cell_length_b 4.8116
_cell_length_c 24.2967
_cell_angle_alpha 90.00
_cell_angle_beta 90.00
_cell_angle_gamma 120.00
loop_
_atom_site_label
_atom_site_fract_x
_atom_site_fract_y
_atom_site_fract_z
_atom_site_occupancy
Ca1 0.0000 0.0000 0.0000 1
Ca2 0.0000 0.0000 0.5000 1
Ag1 0.0000 0.0000 0.1214 1
Sb1 0.0000 0.0000 0.2504 1
```

***

Compound: Ca2Ag2Sb
Source: Alexandria via LeMat-Bulk
Functional: GGA-PBE
Structure: relaxed

Its energy above the most stable polymorph in this dataset is 0.2141 eV/atom.

```
data_Ca2Ag2Sb
_symmetry_space_group_name_H-M 'P 4/m b m'
_symmetry_Int_Tables_number 127
_symmetry_space_group_name_Hall '-P 4 2ab'
_cell_length_a 8.516
_cell_length_b 8.516
_cell_length_c 3.756
_cell_angle_alpha 90.00
_cell_angle_beta 90.00
_cell_angle_gamma 90.00
loop_
_atom_site_label
_atom_site_fract_x
_atom_site_fract_y
_atom_site_fract_z
_atom_site_occupancy
Ca1 0.168 0.332 0.000 1
Ag1 0.122 0.622 0.500 1
Sb1 0.000 0.000 0.000 1
```

***

Number 1: E_form (uncorrected) -0.4882 eV per atom, calculated total energy -94.95 eV for the cell shown. Number 2: E_form (uncorrected) -0.2324 eV per atom, calculated total energy -56.11 eV for the cell shown. Number 3: E_form (uncorrected) -0.3265 eV per atom, calculated total energy -28.81 eV for the cell shown. Number 4: E_form (uncorrected) -0.2226 eV per atom, calculated total energy -27.98 eV for the cell shown. Number 5: E_form (uncorrected) -0.5877 eV per atom, calculated total energy -64.43 eV for the cell shown. Number 6: E_form (uncorrected) -0.2557 eV per atom, calculated total energy -30.21 eV for the cell shown.